# 1
The following is a PBE calculation of a geometry-optimized ZnCd7Au4 structure, from Alexandria.

Formation energy from the elements ... -0.05 eV/atom
Magnetic moment ... 0.000 μB/atom
Crystal system ... monoclinic
Total DFT energy (no corrections) ... -1.786 eV per atom

Lattice parameters (Å, degrees): 4.9944 8.5971 6.9792 80.57 69.03 73.11
Atoms (fractional coordinates):
Au1 0.7073 0.6598 0.9257
Au2 0.4266 0.7830 0.3637
Zn1 0.0000 0.0000 0.0000
Au3 0.2927 0.3402 0.0743
Cd1 0.5000 0.0000 0.0000
Cd2 0.7840 0.8734 0.5585
Cd3 0.3517 0.5781 0.7185
Cd4 0.0703 0.6690 0.1904
Cd5 0.9297 0.3310 0.8096
Cd6 0.6483 0.4219 0.2815
Au4 0.5734 0.2170 0.6363
Cd7 0.2160 0.1266 0.4415

# 2
The following is a PBE calculation of a geometry-optimized ZnCdAu structure, from Alexandria.

Polymorph energy (0 for the lowest one) ... 42 meV/atom
Formation energy from the elements ... -0.11 eV/atom
Magnetic moment ... 0.000 μB/atom
Crystal system ... trigonal
Total DFT energy (no corrections) ... -1.936 eV per atom

Lattice parameters (Å, degrees): 4.5518 4.5518 3.0869 90.00 90.00 120.00
Atoms (fractional coordinates):
Cd1 0.6667 0.3333 0.3336
Zn1 0.3333 0.6667 0.8318
Au1 0.0000 0.0000 0.8346

# 3
The following is a PBE calculation of a geometry-optimized ZnCd3Au3 structure, from Alexandria.

Polymorph energy (0 for the lowest one) ... 0 meV/atom
Formation energy from the elements ... -0.14 eV/atom
Magnetic moment ... 0.000 μB/atom
Crystal system ... monoclinic
Total DFT energy (no corrections) ... -2.118 eV per atom

Lattice parameters (Å, degrees): 6.4098 6.4098 6.8128 90.01 90.01 85.86
Atoms (fractional coordinates):
Zn1 0.2417 0.2417 0.9994
Au1 0.9996 0.5004 0.7691
Zn2 0.7583 0.7583 0.0006
Au2 0.5004 0.9996 0.7691
Au3 0.0003 0.0003 0.2218
Cd1 0.6798 0.3202 0.0000
Cd2 0.7460 0.7460 0.4994
Cd3 0.7333 0.2667 0.5000
Cd4 0.2540 0.2540 0.5006
Cd5 0.2667 0.7333 0.5000
Au4 0.9997 0.9997 0.7782
Au5 0.0004 0.4996 0.2309
Au6 0.4996 0.0004 0.2309
Cd6 0.3202 0.6798 0.0000

# 4
The following is a PBE calculation of a geometry-optimized Zn7Cd2Au12 structure, from Alexandria.

Formation energy from the elements ... -0.15 eV/atom
Magnetic moment ... 0.000 μB/atom
Crystal system ... hexagonal
Total DFT energy (no corrections) ... -2.535 eV per atom

Lattice parameters (Å, degrees): 2.9572 11.8850 11.8850 120.00 90.00 90.00
Atoms (fractional coordinates):
Au1 0.5000 0.4294 0.2869
Au2 0.0000 0.5032 0.9210
Au3 0.0000 0.4179 0.4968
Zn1 0.5000 0.4545 0.0807
Au4 0.0000 0.2348 0.0397
Au5 0.5000 0.5708 0.7465
Zn2 0.0000 0.3333 0.6667
Au6 0.0000 0.9603 0.1951
Cd1 0.5000 0.0000 0.0000
Zn3 0.0000 0.0416 0.7895
Au7 0.5000 0.2535 0.8243
Au8 0.5000 0.7131 0.1425
Zn4 0.5000 0.6262 0.5455
Au9 0.5000 0.8575 0.5706
Au10 0.0000 0.0790 0.5821
Cd2 0.0000 0.6667 0.3333
Zn5 0.0000 0.7479 0.9584
Zn6 0.5000 0.9193 0.3738
Au11 0.5000 0.1757 0.4292
Zn7 0.0000 0.2105 0.2521
Au12 0.0000 0.8049 0.7652

# 5
The following is a PBE calculation of a geometry-optimized ZnCdAu2 structure, from Alexandria.

Formation energy from the elements ... 0.05 eV/atom
Magnetic moment ... 0.000 μB/atom
Crystal system ... orthorhombic
Total DFT energy (no corrections) ... -2.140 eV per atom

Lattice parameters (Å, degrees): 6.3632 6.3632 6.3632 52.46 153.97 135.30
Atoms (fractional coordinates):
Au1 0.0000 0.7627 0.7627
Zn1 0.0000 0.0000 0.0000
Cd1 0.0000 0.5000 0.5000
Au2 0.0000 0.2373 0.2373

# 6
The following is a PBE calculation of a geometry-optimized Zn4CdAu2 structure, from Alexandria.

Polymorph energy (0 for the lowest one) ... 17 meV/atom
Formation energy from the elements ... -0.11 eV/atom
Magnetic moment ... 0.000 μB/atom
Crystal system ... trigonal
Total DFT energy (no corrections) ... -1.909 eV per atom

Lattice parameters (Å, degrees): 4.4509 4.4509 7.7478 73.31 73.31 60.00
Atoms (fractional coordinates):
Au1 0.2505 0.2505 0.2484
Cd1 0.0000 0.0000 0.0000
Zn1 0.1321 0.1321 0.6037
Zn2 0.8679 0.8679 0.3963
Zn3 0.6089 0.6089 0.1733
Au2 0.7495 0.7495 0.7516
Zn4 0.3911 0.3911 0.8267

# 7
The following is a PBE calculation of a geometry-optimized Zn3CdAu3 structure, from Alexandria.

Polymorph energy (0 for the lowest one) ... 0 meV/atom
Formation energy from the elements ... -0.16 eV/atom
Magnetic moment ... 0.000 μB/atom
Crystal system ... trigonal
Total DFT energy (no corrections) ... -2.245 eV per atom

Lattice parameters (Å, degrees): 6.9450 6.9450 7.3127 61.65 61.65 60.00
Atoms (fractional coordinates):
Cd1 0.6671 0.6671 0.9986
Zn1 0.2700 0.8975 0.3726
Zn2 0.5401 0.7300 0.6274
Zn3 0.1025 0.5401 0.6274
Au1 0.9243 0.1867 0.1970
Zn4 0.7300 0.1025 0.6274
Au2 0.0757 0.8133 0.8030
Cd2 0.3329 0.3329 0.0014
Zn5 0.4599 0.2700 0.3726
Au3 0.1867 0.6919 0.1970
Au4 0.8133 0.3081 0.8030
Au5 0.3081 0.0757 0.8030
Au6 0.6919 0.9243 0.1970
Zn6 0.8975 0.4599 0.3726

# 8
The following is a PBE calculation of a geometry-optimized ZnCd6Au10 structure, from Alexandria.

Formation energy from the elements ... -0.10 eV/atom
Magnetic moment ... 0.000 μB/atom
Crystal system ... trigonal
Total DFT energy (no corrections) ... -2.431 eV per atom

Lattice parameters (Å, degrees): 5.5937 8.2605 8.2605 120.00 90.00 90.00
Atoms (fractional coordinates):
Cd1 0.7146 0.0000 0.6170
Au1 0.5000 0.6667 0.3333
Cd2 0.2854 0.0000 0.3830
Cd3 0.7146 0.6170 0.0000
Cd4 0.2854 0.6170 0.6170
Au2 0.8044 0.0000 0.2545
Au3 0.0000 0.3333 0.6667
Zn1 0.5000 0.0000 0.0000
Au4 0.1956 0.2545 0.2545
Au5 0.1956 0.0000 0.7455
Au6 0.0000 0.6667 0.3333
Au7 0.8044 0.7455 0.7455
Au8 0.8044 0.2545 0.0000
Au9 0.5000 0.3333 0.6667
Au10 0.1956 0.7455 0.0000
Cd5 0.7146 0.3830 0.3830
Cd6 0.2854 0.3830 0.0000

# 9
The following is a PBE calculation of a geometry-optimized ZnCd3Au2 structure, from Alexandria.

Formation energy from the elements ... -0.13 eV/atom
Magnetic moment ... 0.000 μB/atom
Crystal system ... orthorhombic
Total DFT energy (no corrections) ... -1.892 eV per atom

Lattice parameters (Å, degrees): 5.6230 5.6271 8.7120 108.84 108.83 90.00
Atoms (fractional coordinates):
Zn1 0.0000 0.2500 0.0000
Cd1 0.9020 0.1885 0.3771
Cd2 0.0980 0.8115 0.6229
Au1 0.6621 0.8722 0.7445
Au2 0.0824 0.3722 0.7445
Cd3 0.5250 0.3115 0.6229
Cd4 0.5000 0.2500 0.0000
Cd5 0.5000 0.7500 0.0000
Zn2 0.0000 0.7500 0.0000
Au3 0.9176 0.6278 0.2555
Au4 0.3379 0.1278 0.2555
Cd6 0.4750 0.6885 0.3771

# 10
The following is a PBE calculation of a geometry-optimized Zn8CdAu6 structure, from Alexandria.

Formation energy from the elements ... -0.17 eV/atom
Magnetic moment ... 0.000 μB/atom
Crystal system ... trigonal
Total DFT energy (no corrections) ... -2.221 eV per atom

Lattice parameters (Å, degrees): 6.9893 6.9893 6.9893 66.89 66.89 66.89
Atoms (fractional coordinates):
Zn1 0.8844 0.2082 0.5571
Au1 0.5967 0.2894 0.9418
Zn2 0.6676 0.6676 0.6676
Cd1 0.0000 0.0000 0.0000
Au2 0.7106 0.0582 0.4033
Zn3 0.3325 0.3325 0.3325
Zn4 0.5571 0.8844 0.2082
Au3 0.2894 0.9418 0.5967
Au4 0.9418 0.5967 0.2894
Zn5 0.1156 0.7918 0.4429
Au5 0.4033 0.7106 0.0582
Au6 0.0582 0.4033 0.7106
Zn6 0.4429 0.1156 0.7918
Zn7 0.7918 0.4429 0.1156
Zn8 0.2082 0.5571 0.8844

# 11
The following is a PBE calculation of a geometry-optimized Zn5Cd2Au2 structure, from Alexandria.

Formation energy from the elements ... -0.01 eV/atom
Magnetic moment ... 0.000 μB/atom
Crystal system ... orthorhombic
Total DFT energy (no corrections) ... -1.646 eV per atom

Lattice parameters (Å, degrees): 7.6811 6.8938 6.8938 104.19 90.00 90.00
Atoms (fractional coordinates):
Zn1 0.5000 0.5000 0.5000
Zn2 0.2505 0.3886 0.1225
Zn3 0.7505 0.1114 0.3775
Zn4 0.7495 0.6113 0.8775
Zn5 0.7495 0.8775 0.6113
Cd1 0.0000 0.2580 0.7420
Zn6 0.2495 0.6225 0.8886
Cd2 0.0000 0.7420 0.2580
Zn7 0.7505 0.3775 0.1114
Au1 0.3237 0.0066 0.0066
Au2 0.1763 0.5066 0.5066
Cd3 0.5000 0.2420 0.7580
Zn8 0.2505 0.1225 0.3886
Cd4 0.5000 0.7580 0.2420
Zn9 0.0000 0.0000 0.0000
Au3 0.6763 0.9934 0.9934
Au4 0.8237 0.4934 0.4934
Zn10 0.2495 0.8886 0.6225

# 12
The following is a PBE calculation of a geometry-optimized ZnCd4Au structure, from Alexandria.

Polymorph energy (0 for the lowest one) ... 5 meV/atom
Formation energy from the elements ... -0.07 eV/atom
Magnetic moment ... 0.000 μB/atom
Crystal system ... tetragonal
Total DFT energy (no corrections) ... -1.440 eV per atom

Lattice parameters (Å, degrees): 6.9118 6.9118 7.2866 118.31 118.31 90.00
Atoms (fractional coordinates):
Au1 0.2500 0.2500 0.5000
Au2 0.7500 0.7500 0.5000
Cd1 0.0203 0.2123 0.7326
Zn1 0.5000 0.5000 0.0000
Zn2 0.0000 0.0000 0.0000
Cd2 0.7877 0.2877 0.2674
Cd3 0.2877 0.4797 0.2674
Cd4 0.9797 0.7877 0.2674
Cd5 0.2123 0.7123 0.7326
Cd6 0.4797 0.9797 0.2674
Cd7 0.7123 0.5203 0.7326
Cd8 0.5203 0.0203 0.7326